A plane-wave DFT calculation with PBE was carried out for crystalline FeAgSCl2 at its relaxed geometry.

extended XYZ file:
```
5
Lattice="-3.523 -2.476 2.216 2.187 -4.159 -1.170 2.628 0.157 4.355" Properties=species:S:1:pos:R:3 pbc="T T T"
S 1.314 0.079 2.177
Fe 0.646 -3.239 2.700
Ag 0.000 0.000 0.000
Cl 1.093 -2.080 -0.585
Cl -1.762 -1.238 1.108
```

- SG: P4/mmm
- Calculated volume: 119.3 Å³ per cell
- Distance to the lowest polymorph of the same formula: 52.8 kJ per mole of atoms
- Density of states at the Fermi level: 8.00 states/eV/f.u.
- DFT total energy: -16.3 eV per cell

---

A plane-wave DFT calculation with PBE was carried out for crystalline Ac2CoPt at its relaxed geometry.

extended XYZ file:
```
8
Lattice="-2.074 3.577 -1.148 -2.629 -2.341 -2.544 -6.712 -0.367 10.983" Properties=species:S:1:pos:R:3 pbc="T T T"
Ac -5.941 0.924 1.582
Ac -5.474 -0.055 5.709
Ac -9.858 0.174 6.321
Ac -1.558 0.695 0.970
Co -8.290 -0.594 9.115
Co -3.126 1.463 -1.824
Pt -3.516 0.320 3.340
Pt -7.899 0.549 3.951
```

- SG: Cmcm
- Calculated volume: 236.6 Å³ per cell
- Density of states at the Fermi level: 2.77 states/eV/f.u.
- DFT total energy: -47.5 eV per cell

---

A plane-wave DFT calculation with PBE was carried out for crystalline Na2Sr7Ca2 at its relaxed geometry.

extended XYZ file:
```
11
Lattice="9.962 1.322 1.908 0.073 7.410 0.792 0.073 -1.861 7.216" Properties=species:S:1:pos:R:3 pbc="T T T"
Na 8.425 3.291 4.750
Na 1.684 3.580 5.167
Sr 1.958 0.068 3.830
Sr 8.151 3.310 8.508
Sr 8.151 6.804 6.086
Sr 1.958 3.562 1.409
Sr 0.000 0.000 0.000
Sr 4.152 5.283 7.624
Sr 5.957 1.589 2.293
Ca 5.054 1.784 6.103
Ca 5.054 5.088 3.814
```

- SG: C2/m
- Calculated volume: 545.5 Å³ per cell
- Distance to the lowest polymorph of the same formula: 0.0 kJ per mole of atoms
- Density of states at the Fermi level: 11.32 states/eV/f.u.
- DFT total energy: -18.0 eV per cell

---

A plane-wave DFT calculation with PBE was carried out for crystalline GePBr at its relaxed geometry.

extended XYZ file:
```
3
Lattice="-3.273 1.203 -1.328 -2.951 -2.284 -0.038 -3.768 1.841 6.131" Properties=species:S:1:pos:R:3 pbc="T T T"
Ge -6.618 -0.008 3.677
P -4.283 0.032 3.201
Br -3.442 -1.117 -0.329
```

- SG: P1
- Calculated volume: 86.2 Å³ per cell
- Distance to the lowest polymorph of the same formula: 0.0 kJ per mole of atoms
- Density of states at the Fermi level: 0.00 states/eV/f.u.
- DFT total energy: -12.3 eV per cell

---

A plane-wave DFT calculation with PBE was carried out for crystalline Er3Ge2Pt4 at its relaxed geometry.

extended XYZ file:
```
9
Lattice="-2.565 0.245 3.518 1.728 -3.322 4.194 4.051 4.896 5.316" Properties=species:S:1:pos:R:3 pbc="T T T"
Er 2.903 1.497 7.418
Er 0.000 0.000 0.000
Er 0.311 0.322 5.610
Ge 2.130 -1.623 7.072
Ge 1.084 3.441 5.957
Pt 0.206 -0.779 2.907
Pt 3.008 2.598 10.121
Pt 2.582 2.133 4.437
Pt 0.632 -0.314 8.591
```

- SG: C2/m
- Calculated volume: 177.0 Å³ per cell
- Density of states at the Fermi level: 4.80 states/eV/f.u.
- DFT total energy: -57.2 eV per cell

---

A plane-wave DFT calculation with PBE was carried out for crystalline TbDy3Mg at its relaxed geometry.

extended XYZ file:
```
10
Lattice="-3.467 1.159 -0.039 -3.294 -4.222 -3.974 -2.788 -8.023 9.645" Properties=species:S:1:pos:R:3 pbc="T T T"
Tb -4.687 -8.086 5.218
Tb -4.862 -3.000 0.415
Dy -4.046 -6.294 1.441
Dy -2.216 -0.891 -0.859
Dy -3.707 -5.390 -1.877
Dy -5.502 -4.792 4.192
Dy -5.841 -5.696 7.510
Dy -7.333 -10.195 6.492
Mg -6.574 -8.059 2.505
Mg -2.975 -3.027 3.128
```

- SG: C2/m
- Calculated volume: 300.8 Å³ per cell
- Distance to the lowest polymorph of the same formula: 0.0 kJ per mole of atoms
- Density of states at the Fermi level: 6.71 states/eV/f.u.
- DFT total energy: -40.2 eV per cell

---

A plane-wave DFT calculation with PBE was carried out for crystalline Zr2TcRu at its relaxed geometry.

extended XYZ file:
```
4
Lattice="-0.337 -4.252 1.836 3.783 -2.116 1.665 0.501 -0.599 4.577" Properties=species:S:1:pos:R:3 pbc="T T T"
Ru 0.987 -1.742 2.020
Tc 2.961 -5.225 6.059
Zr 0.000 0.000 0.000
Zr 1.974 -3.483 4.039
```

- SG: Fm-3m
- Calculated volume: 70.8 Å³ per cell
- Density of states at the Fermi level: 2.17 states/eV/f.u.
- DFT total energy: -38.9 eV per cell

---

A plane-wave DFT calculation with PBE was carried out for crystalline CdIn2IrI at its relaxed geometry.

extended XYZ file:
```
5
Lattice="-4.160 -3.172 -0.462 2.720 -3.093 -3.257 1.728 -2.875 4.175" Properties=species:S:1:pos:R:3 pbc="T T T"
I 0.145 -4.570 0.228
Cd 0.864 -1.437 2.087
Ir 0.000 0.000 0.000
In 1.360 -1.547 -1.628
In -2.080 -1.586 -0.231
```

- SG: P4/mmm
- Calculated volume: 147.7 Å³ per cell
- Density of states at the Fermi level: 2.12 states/eV/f.u.
- DFT total energy: -17.4 eV per cell